Version i
# PBE AcPr3Co, optimized geometry
# - spin magnetization (μB/atom) = 0.28
# - crystal system = cubic
data_AcPr3Co
_chemical_formula_sum 'Ac1 Pr3 Co1'
_symmetry_space_group_name_H-M 'P m -3 m'
_symmetry_Int_Tables_number 221
_symmetry_space_group_name_Hall '-P 4 2 3'
_cell_length_a 5.579
_cell_length_b 5.579
_cell_length_c 5.579
_cell_angle_alpha 90.00
_cell_angle_beta 90.00
_cell_angle_gamma 90.00
loop_
_atom_site_label
_atom_site_fract_x
_atom_site_fract_y
_atom_site_fract_z
Ac1 0.000 0.000 0.000
Pr1 0.000 0.500 0.500
Co1 0.500 0.500 0.500


Version ii
# PBE AcPr3Co, optimized geometry
# - spin magnetization (μB/atom) = 0.00
# - crystal system = monoclinic
data_AcPr3Co
_chemical_formula_sum 'Ac4 Pr12 Co4'
_symmetry_space_group_name_H-M 'C 1 2/m 1'
_symmetry_Int_Tables_number 12
_cell_length_a 12.498
_cell_length_b 8.556
_cell_length_c 8.700
_cell_angle_alpha 90.00
_cell_angle_beta 134.02
_cell_angle_gamma 90.00
loop_
_symmetry_equiv_pos_as_xyz
'x,y,z'
'-x,-y,-z'
'-x,y,-z'
'x,-y,z'
'x+1/2,y+1/2,z'
'-x+1/2,-y+1/2,-z'
'-x+1/2,y+1/2,-z'
'x+1/2,-y+1/2,z'
loop_
_atom_site_label
_atom_site_fract_x
_atom_site_fract_y
_atom_site_fract_z
Ac1 0.046 0.000 0.330
Pr1 0.041 0.500 0.246
Pr2 0.247 0.292 0.793
Co1 0.249 0.500 0.108


Version iii
# PBE AcPr3Co, optimized geometry
# - spin magnetization (μB/atom) = 0.00
# - crystal system = monoclinic
data_AcPr3Co
_chemical_formula_sum 'Ac4 Pr12 Co4'
_symmetry_space_group_name_H-M 'P 1 21/c 1'
_symmetry_Int_Tables_number 14
_cell_length_a 9.863
_cell_length_b 6.787
_cell_length_c 10.317
_cell_angle_alpha 90.00
_cell_angle_beta 100.19
_cell_angle_gamma 90.00
loop_
_symmetry_equiv_pos_as_xyz
'x,y,z'
'-x,-y,-z'
'-x,y+1/2,-z+1/2'
'x,-y+1/2,z+1/2'
loop_
_atom_site_label
_atom_site_fract_x
_atom_site_fract_y
_atom_site_fract_z
Ac1 0.073 0.075 0.182
Pr1 0.179 0.584 0.050
Pr2 0.311 0.075 0.924
Pr3 0.449 0.588 0.827
Co1 0.425 0.736 0.571


What is the stability order? It is version ii, version iii, version i, from most stable to least stable.


Version i
# PBE AcPrCo, optimized geometry
# - spin magnetization (μB/atom) = 0.18
# - crystal system = tetragonal
data_AcPrCo
_chemical_formula_sum 'Ac2 Pr2 Co2'
_symmetry_space_group_name_H-M 'I 4 m m'
_symmetry_Int_Tables_number 107
_symmetry_space_group_name_Hall 'I 4 -2'
_cell_length_a 3.617
_cell_length_b 3.617
_cell_length_c 13.599
_cell_angle_alpha 90.00
_cell_angle_beta 90.00
_cell_angle_gamma 90.00
loop_
_atom_site_label
_atom_site_fract_x
_atom_site_fract_y
_atom_site_fract_z
Ac1 0.000 0.000 0.000
Pr1 0.000 0.000 0.750
Co1 0.000 0.000 0.367


Version ii
# PBE AcPrCo, optimized geometry
# - spin magnetization (μB/atom) = 0.06
# - crystal system = monoclinic
data_AcPrCo
_chemical_formula_sum 'Ac2 Pr2 Co2'
_symmetry_space_group_name_H-M 'P 1 21/m 1'
_symmetry_Int_Tables_number 11
_cell_length_a 6.630
_cell_length_b 3.933
_cell_length_c 7.148
_cell_angle_alpha 90.00
_cell_angle_beta 95.93
_cell_angle_gamma 90.00
loop_
_symmetry_equiv_pos_as_xyz
'x,y,z'
'-x,-y,-z'
'-x,y+1/2,-z'
'x,-y+1/2,z'
loop_
_atom_site_label
_atom_site_fract_x
_atom_site_fract_y
_atom_site_fract_z
Ac1 0.135 0.250 0.299
Pr1 0.368 0.250 0.800
Co1 0.399 0.750 0.527


Version iii
# PBE AcPrCo, optimized geometry
# - spin magnetization (μB/atom) = 0.00
# - crystal system = trigonal
data_AcPrCo
_chemical_formula_sum 'Ac1 Pr1 Co1'
_symmetry_space_group_name_H-M 'P 3 m 1'
_symmetry_Int_Tables_number 156
_cell_length_a 4.1441
_cell_length_b 4.1441
_cell_length_c 6.5962
_cell_angle_alpha 90.00
_cell_angle_beta 90.00
_cell_angle_gamma 120.00
loop_
_symmetry_equiv_pos_as_xyz
'x,y,z'
'-y,x-y,z'
'-x+y,-x,z'
'-y,-x,z'
'-x+y,y,z'
'x,x-y,z'
loop_
_atom_site_label
_atom_site_fract_x
_atom_site_fract_y
_atom_site_fract_z
Ac1 0.0000 0.0000 0.0000
Pr1 0.3333 0.6667 0.4552
Co1 0.6667 0.3333 0.2363


What is the stability order? It is version iii, version ii, version i, from most stable to least stable.


Version i
# PBE AcPrCo, optimized geometry
# - spin magnetization (μB/atom) = 0.00
# - crystal system = cubic
data_AcPrCo
_chemical_formula_sum 'Ac4 Pr4 Co4'
_symmetry_space_group_name_H-M 'F -4 3 m'
_symmetry_Int_Tables_number 216
_symmetry_space_group_name_Hall 'F -4 2 3'
_cell_length_a 7.068
_cell_length_b 7.068
_cell_length_c 7.068
_cell_angle_alpha 90.00
_cell_angle_beta 90.00
_cell_angle_gamma 90.00
loop_
_atom_site_label
_atom_site_fract_x
_atom_site_fract_y
_atom_site_fract_z
Ac1 0.000 0.000 0.000
Pr1 0.000 0.000 0.500
Co1 0.250 0.250 0.750


Version ii
# PBE AcPrCo, optimized geometry
# - spin magnetization (μB/atom) = 0.00
# - crystal system = monoclinic
data_AcPrCo
_chemical_formula_sum 'Ac4 Pr4 Co4'
_symmetry_space_group_name_H-M 'C 1 2/m 1'
_symmetry_Int_Tables_number 12
_cell_length_a 13.149
_cell_length_b 3.961
_cell_length_c 8.850
_cell_angle_alpha 90.00
_cell_angle_beta 128.82
_cell_angle_gamma 90.00
loop_
_symmetry_equiv_pos_as_xyz
'x,y,z'
'-x,-y,-z'
'-x,y,-z'
'x,-y,z'
'x+1/2,y+1/2,z'
'-x+1/2,-y+1/2,-z'
'-x+1/2,y+1/2,-z'
'x+1/2,-y+1/2,z'
loop_
_atom_site_label
_atom_site_fract_x
_atom_site_fract_y
_atom_site_fract_z
Ac1 0.070 0.000 0.373
Pr1 0.190 0.500 0.098
Co1 0.112 0.500 0.697


What is the stability order? It is version ii, version i, from most stable to least stable.


Version i
# PBE Ac3PrCo, optimized geometry
# - spin magnetization (μB/atom) = 0.00
# - crystal system = monoclinic
data_Ac3PrCo
_chemical_formula_sum 'Ac12 Pr4 Co4'
_symmetry_space_group_name_H-M 'C 1 2/m 1'
_symmetry_Int_Tables_number 12
_cell_length_a 12.532
_cell_length_b 9.270
_cell_length_c 8.796
_cell_angle_alpha 90.00
_cell_angle_beta 134.20
_cell_angle_gamma 90.00
loop_
_symmetry_equiv_pos_as_xyz
'x,y,z'
'-x,-y,-z'
'-x,y,-z'
'x,-y,z'
'x+1/2,y+1/2,z'
'-x+1/2,-y+1/2,-z'
'-x+1/2,y+1/2,-z'
'x+1/2,-y+1/2,z'
loop_
_atom_site_label
_atom_site_fract_x
_atom_site_fract_y
_atom_site_fract_z
Ac1 0.039 0.209 0.287
Ac2 0.208 0.500 0.165
Pr1 0.200 0.500 0.738
Co1 0.107 0.500 0.359


Version ii
# PBE Ac3PrCo, optimized geometry
# - spin magnetization (μB/atom) = 0.00
# - crystal system = cubic
data_Ac3PrCo
_chemical_formula_sum 'Ac3 Pr1 Co1'
_symmetry_space_group_name_H-M 'P m -3 m'
_symmetry_Int_Tables_number 221
_symmetry_space_group_name_Hall '-P 4 2 3'
_cell_length_a 5.711
_cell_length_b 5.711
_cell_length_c 5.711
_cell_angle_alpha 90.00
_cell_angle_beta 90.00
_cell_angle_gamma 90.00
loop_
_atom_site_label
_atom_site_fract_x
_atom_site_fract_y
_atom_site_fract_z
Ac1 0.000 0.000 0.500
Pr1 0.500 0.500 0.500
Co1 0.000 0.000 0.000


What is the stability order? It is version i, version ii, from most stable to least stable.